No. 1
The following is a PBE calculation of crystalline Tb6Pm3HoTh2 at its relaxed geometry, from Alexandria via LeMat-Bulk.

Cell: 6.2091 6.2091 11.8482 Å, 95.02 95.02 119.95°
Fractional coordinates of all 12 atoms:
1 Tb 0.4188 0.0819 0.2453
2 Tb 0.9181 0.5812 0.7547
3 Tb 0.2552 0.2552 0.7544
4 Tb 0.7448 0.7448 0.2456
5 Tb 0.5812 0.9181 0.7547
6 Tb 0.0819 0.4188 0.2453
7 Pm 0.1665 0.8335 0.5000
8 Pm 0.8335 0.1665 0.5000
9 Pm 0.5000 0.5000 0.5000
10 Th 0.3334 0.6666 0.0000
11 Th 0.6666 0.3334 0.0000
12 Ho 0.0000 0.0000 0.0000

Values from the calculation:
Total moment = 0.00 Bohr magnetons per cell
Energy of formation = 0.020 eV/atom
Calculated total energy = -61.21 eV per cell
Space group = C2/m

No. 2
The following is a PBE calculation of crystalline Tb3Pm2Ho6Th at its relaxed geometry, from Alexandria via LeMat-Bulk.

Cell: 6.1754 6.1754 11.7572 Å, 95.02 95.02 119.96°
Fractional coordinates of all 12 atoms:
1 Ho 0.2452 0.2452 0.7495
2 Ho 0.0843 0.4139 0.2505
3 Ho 0.7548 0.7548 0.2505
4 Ho 0.4139 0.0843 0.2505
5 Ho 0.9157 0.5861 0.7495
6 Ho 0.5861 0.9157 0.7495
7 Tb 0.1671 0.8329 0.5000
8 Tb 0.8329 0.1671 0.5000
9 Tb 0.5000 0.5000 0.5000
10 Pm 0.6666 0.3334 0.0000
11 Pm 0.3334 0.6666 0.0000
12 Th 0.0000 0.0000 0.0000

Values from the calculation:
Total moment = 0.00 Bohr magnetons per cell
Energy of formation = 0.027 eV/atom
Calculated total energy = -57.96 eV per cell
Space group = C2/m

No. 3
The following is a PBE calculation of crystalline Tb6Pm3Ho2Th at its relaxed geometry, from Alexandria via LeMat-Bulk.

Cell: 6.1987 6.1987 11.8683 Å, 95.00 95.00 119.95°
Fractional coordinates of all 12 atoms:
1 Pm 0.5000 0.5000 0.5000
2 Pm 0.8330 0.1670 0.5000
3 Pm 0.1670 0.8330 0.5000
4 Tb 0.0827 0.4129 0.2466
5 Tb 0.2474 0.2474 0.7534
6 Tb 0.5871 0.9173 0.7534
7 Tb 0.4129 0.0827 0.2466
8 Tb 0.7526 0.7526 0.2466
9 Tb 0.9173 0.5871 0.7534
10 Ho 0.3333 0.6667 0.0000
11 Ho 0.6667 0.3333 0.0000
12 Th 0.0000 0.0000 0.0000

Values from the calculation:
Total moment = 0.00 Bohr magnetons per cell
Energy of formation = 0.021 eV/atom
Calculated total energy = -58.36 eV per cell
Space group = C2/m

Question: energy of formation of number 3 (Tb6Pm3Ho2Th)?
Answer: 0.021 eV/atom

Question: Which of these has the lowest energy of formation?
Answer: Tb6Pm3HoTh2